VASP calculation (PBE) on a geometry-optimized Zn2PtPb structure.

Lattice parameters (Å, degrees): 4.280 4.280 7.973 90.00 90.00 90.00
Space group I4/mmm (No. 139)
Unique sites:
Zn: 0.000 0.500 0.250 [4 per cell]
Pt: 0.000 0.000 0.000 [2 per cell]
Pb: 0.000 0.000 0.500 [2 per cell]

Output
**ΔE_f**: 0 meV per atom
**Magnetic moment**: 0.00 Bohr magnetons per cell